(1)
{"formula": "Eu2DyCd", "functional": "GGA-PBE", "state": "optimized geometry", "de_polymorph_kj_per_mol_fu": 0.0, "total_energy_ev_per_cell": -26.41, "formation_enthalpy_0k_ev_per_fu": -0.34, "dos_at_fermi_per_ev_cell": 3.855, "crystal_system": "tetragonal", "vol_a3_per_atom": 33.45, "lattice": [[3.7989, 0.0000, 0.0000], [0.0000, 3.7989, 0.0000], [0.0000, 0.0000, 9.2718]], "species": ["Eu", "Cd", "Eu", "Dy"], "fractional_positions": [[0.0000, 0.0000, 0.2205], [0.5000, 0.5000, 0.0000], [0.0000, 0.0000, 0.7795], [0.5000, 0.5000, 0.5000]]}

(2)
{"formula": "Eu2Si3Pd", "functional": "GGA-PBE", "state": "optimized geometry", "total_energy_ev_per_cell": -92.89, "dos_at_fermi_per_ev_cell": 37.628, "crystal_system": "hexagonal", "vol_a3_per_atom": 21.50, "lattice": [[8.3217, 0.0000, 0.0000], [-4.1608, 7.2068, 0.0000], [0.0000, 0.0000, 4.3015]], "species": ["Pd", "Eu", "Si", "Si", "Si", "Si", "Eu", "Eu", "Si", "Pd", "Si", "Eu"], "fractional_positions": [[0.6667, 0.3333, 0.5000], [0.0000, 0.5000, 0.0000], [0.1641, 0.3283, 0.5000], [0.1641, 0.8359, 0.5000], [0.6717, 0.8359, 0.5000], [0.8359, 0.6717, 0.5000], [0.5000, 0.0000, 0.0000], [0.5000, 0.5000, 0.0000], [0.8359, 0.1641, 0.5000], [0.3333, 0.6667, 0.5000], [0.3283, 0.1641, 0.5000], [0.0000, 0.0000, 0.0000]]}

(3)
{"formula": "CoCuCl2", "functional": "GGA-PBE", "state": "optimized geometry", "de_polymorph_kj_per_mol_fu": 39.0, "total_energy_ev_per_cell": -15.03, "dos_at_fermi_per_ev_cell": 2.672, "crystal_system": "orthorhombic", "vol_a3_per_atom": 20.13, "lattice": [[-1.2385, -3.2286, -0.3044], [3.4554, -0.0343, 0.3304], [-0.6830, -0.4076, 7.1015]], "species": ["Cl", "Cl", "Co", "Cu"], "fractional_positions": [[0.0000, 0.0000, 0.8822], [0.5000, 0.5000, 0.3619], [0.0000, 0.0000, 0.5237], [0.5000, 0.5000, 0.7322]]}

(4)
{"formula": "CrAsPdSe2", "functional": "GGA-PBE", "state": "optimized geometry", "de_polymorph_kj_per_mol_fu": 0.0, "total_energy_ev_per_cell": -24.17, "dos_at_fermi_per_ev_cell": 5.422, "crystal_system": "tetragonal", "vol_a3_per_atom": 20.39, "lattice": [[-3.4290, 0.2962, 3.1801], [-3.1351, -1.2030, -3.2684], [0.6043, -4.4784, 1.0687]], "species": ["Se", "Se", "Cr", "As", "Pd"], "fractional_positions": [[0.5000, 0.0000, 0.0000], [0.0000, 0.5000, 0.0000], [0.0000, 0.0000, 0.0000], [0.0000, 0.0000, 0.5000], [0.5000, 0.5000, 0.5000]]}